This record from the Alexandria database describes a relaxed structure of Ce2WO6. The functional is PBEsol.

Values from the calculation:
- total energy (eV per cell) = -339.9
- space group = C2/c (15)
- formation energy (no corrections) (eV/atom) = -2.94
- calculated volume (Å³ per cell) = 470.76
- total moment (μB per cell) = 8.0

abc: 9.7617 9.7617 5.4614
angles: 102.29 102.29 69.47
Element x y z (fractional)
Ce 0.0618 0.2906 0.8903
Ce 0.1187 0.8813 0.7500
Ce 0.2906 0.0618 0.3903
Ce 0.3789 0.6211 0.2500
Ce 0.6211 0.3789 0.7500
Ce 0.7094 0.9382 0.6097
Ce 0.8813 0.1187 0.2500
Ce 0.9382 0.7094 0.1097
W 0.1792 0.5022 0.5811
W 0.4978 0.8208 0.9189
W 0.5022 0.1792 0.0811
W 0.8208 0.4978 0.4189
O 0.0361 0.4701 0.2822
O 0.0781 0.1007 0.0769
O 0.1007 0.0781 0.5769
O 0.1507 0.6819 0.4149
O 0.1810 0.6283 0.8956
O 0.2187 0.3070 0.6360
O 0.3070 0.2187 0.1360
O 0.3181 0.8493 0.0851
O 0.3717 0.8190 0.6044
O 0.3744 0.4611 0.5340
O 0.4611 0.3744 0.0340
O 0.4701 0.0361 0.7822
O 0.5299 0.9639 0.2178
O 0.5389 0.6256 0.9660
O 0.6256 0.5389 0.4660
O 0.6283 0.1810 0.3956
O 0.6819 0.1507 0.9149
O 0.6930 0.7813 0.8640
O 0.7813 0.6930 0.3640
O 0.8190 0.3717 0.1044
O 0.8493 0.3181 0.5851
O 0.8993 0.9219 0.4231
O 0.9219 0.8993 0.9231
O 0.9639 0.5299 0.7178

This record from the Alexandria database describes a relaxed structure of CeW2O8. The functional is PBEsol.

Values from the calculation:
- total energy (eV per cell) = -205.7
- space group = C2/c (15)
- formation energy (no corrections) (eV/atom) = -2.42
- calculated volume (Å³ per cell) = 307.29
- total moment (μB per cell) = 0.0

abc: 7.2923 7.2923 7.6762
angles: 116.11 116.11 61.15
Element x y z (fractional)
Ce 0.0295 0.9705 0.7500
Ce 0.9705 0.0295 0.2500
W 0.0189 0.5065 0.2270
W 0.4935 0.9811 0.2730
W 0.5065 0.0189 0.7270
W 0.9811 0.4935 0.7730
O 0.0266 0.7786 0.4134
O 0.0287 0.6627 0.0585
O 0.0957 0.6257 0.7160
O 0.2214 0.9734 0.0866
O 0.2918 0.3444 0.3234
O 0.3373 0.9713 0.4415
O 0.3444 0.2918 0.8234
O 0.3743 0.9043 0.7840
O 0.6257 0.0957 0.2160
O 0.6556 0.7082 0.1766
O 0.6627 0.0287 0.5585
O 0.7082 0.6556 0.6766
O 0.7786 0.0266 0.9134
O 0.9043 0.3743 0.2840
O 0.9713 0.3373 0.9415
O 0.9734 0.2214 0.5866

This record from the Alexandria database describes a relaxed structure of CeW2O8. The functional is PBEsol.

Values from the calculation:
- total energy (eV per cell) = -409.7
- space group = P2_13 (198)
- formation energy (no corrections) (eV/atom) = -2.38
- calculated volume (Å³ per cell) = 867.07
- total moment (μB per cell) = 0.0

abc: 9.5357 9.5357 9.5357
angles: 90.00 90.00 90.00
Element x y z (fractional)
Ce 0.2471 0.2529 0.7471
Ce 0.2529 0.7471 0.2471
Ce 0.7471 0.2471 0.2529
Ce 0.7529 0.7529 0.7529
W 0.0954 0.0954 0.0954
W 0.1578 0.6578 0.8422
W 0.3422 0.3422 0.3422
W 0.4046 0.9046 0.5954
W 0.5954 0.4046 0.9046
W 0.6578 0.8422 0.1578
W 0.8422 0.1578 0.6578
W 0.9046 0.5954 0.4046
O 0.0095 0.4905 0.5095
O 0.0234 0.1963 0.6912
O 0.0376 0.6957 0.3097
O 0.1903 0.9624 0.1957
O 0.1912 0.4766 0.8037
O 0.1957 0.1903 0.9624
O 0.1963 0.6912 0.0234
O 0.2359 0.2359 0.2359
O 0.2641 0.7641 0.7359
O 0.3037 0.3088 0.5234
O 0.3043 0.8097 0.4624
O 0.3088 0.5234 0.3037
O 0.3097 0.0376 0.6957
O 0.4624 0.3043 0.8097
O 0.4766 0.8037 0.1912
O 0.4905 0.5095 0.0095
O 0.5095 0.0095 0.4905
O 0.5234 0.3037 0.3088
O 0.5376 0.8043 0.6903
O 0.6903 0.5376 0.8043
O 0.6912 0.0234 0.1963
O 0.6957 0.3097 0.0376
O 0.6963 0.8088 0.9766
O 0.7359 0.2641 0.7641
O 0.7641 0.7359 0.2641
O 0.8037 0.1912 0.4766
O 0.8043 0.6903 0.5376
O 0.8088 0.9766 0.6963
O 0.8097 0.4624 0.3043
O 0.9624 0.1957 0.1903
O 0.9766 0.6963 0.8088
O 0.9905 0.9905 0.9905

This record from the Alexandria database describes a relaxed structure of Ce5Y2O13. The functional is PBEsol.

Values from the calculation:
- total energy (eV per cell) = -184.4
- space group = R3m (160)
- formation energy (no corrections) (eV/atom) = -3.48
- calculated volume (Å³ per cell) = 272.23
- total moment (μB per cell) = 0.0

abc: 22.0874 22.0874 22.0874
angles: 9.82 9.82 9.82
Element x y z (fractional)
Ce 0.0000 0.0000 0.0000
Ce 0.1425 0.1425 0.1425
Ce 0.2856 0.2856 0.2856
Ce 0.5712 0.5712 0.5712
Ce 0.8567 0.8567 0.8567
Y 0.4286 0.4286 0.4286
Y 0.7116 0.7116 0.7116
O 0.0350 0.0350 0.0350
O 0.1014 0.1014 0.1014
O 0.1772 0.1772 0.1772
O 0.2490 0.2490 0.2490
O 0.3206 0.3206 0.3206
O 0.3968 0.3968 0.3968
O 0.4634 0.4634 0.4634
O 0.5346 0.5346 0.5346
O 0.6061 0.6061 0.6061
O 0.6777 0.6777 0.6777
O 0.8203 0.8203 0.8203
O 0.8917 0.8917 0.8917
O 0.9634 0.9634 0.9634